## one
# LiAg3Mo GGA-PBE relaxed
# Magnetization ... 0.01 μB/cell
data_LiAg3Mo
_chemical_formula_sum 'Li1 Ag3 Mo1'
_space_group_name_H-M_alt 'P m -3 m'
_space_group_IT_number 221
_space_group_name_Hall '-P 4 2 3'
_cell_length_a 5.124
_cell_length_b 5.124
_cell_length_c 5.124
_cell_angle_alpha 90.00
_cell_angle_beta 90.00
_cell_angle_gamma 90.00
loop_
_atom_site_label
_atom_site_type_symbol
_atom_site_fract_x
_atom_site_fract_y
_atom_site_fract_z
Li1 Li 0.000 0.000 0.000
Ag1 Ag 0.000 0.500 0.500
Mo1 Mo 0.500 0.500 0.500

***

## two
# LiAg3Mo GGA-PBE relaxed
# Magnetization ... 0.00 μB/cell
data_LiAg3Mo
_chemical_formula_sum 'Li1 Ag3 Mo1'
_space_group_name_H-M_alt 'P m -3 m'
_space_group_IT_number 221
_space_group_name_Hall '-P 4 2 3'
_cell_length_a 4.386
_cell_length_b 4.386
_cell_length_c 4.386
_cell_angle_alpha 90.00
_cell_angle_beta 90.00
_cell_angle_gamma 90.00
loop_
_atom_site_label
_atom_site_type_symbol
_atom_site_fract_x
_atom_site_fract_y
_atom_site_fract_z
Li1 Li 0.000 0.000 0.000
Ag1 Ag 0.000 0.000 0.500
Mo1 Mo 0.500 0.500 0.500

***

The most stable of them is two.

***

## one
# Li2AgN2 GGA-PBE relaxed
# Magnetization ... 0.00 μB/cell
data_Li2AgN2
_chemical_formula_sum 'Li4 Ag2 N4'
_space_group_name_H-M_alt 'P 4/m b m'
_space_group_IT_number 127
_space_group_name_Hall '-P 4 2ab'
_cell_length_a 6.256
_cell_length_b 6.256
_cell_length_c 2.531
_cell_angle_alpha 90.00
_cell_angle_beta 90.00
_cell_angle_gamma 90.00
loop_
_atom_site_label
_atom_site_type_symbol
_atom_site_fract_x
_atom_site_fract_y
_atom_site_fract_z
Li1 Li 0.121 0.379 0.000
Ag1 Ag 0.000 0.000 0.000
N1 N 0.184 0.684 0.500

***

## two
# Li2AgN2 GGA-PBE relaxed
# Magnetization ... 0.00 μB/cell
data_Li2AgN2
_chemical_formula_sum 'Li4 Ag2 N4'
_space_group_name_H-M_alt 'P 4/m b m'
_space_group_IT_number 127
_space_group_name_Hall '-P 4 2ab'
_cell_length_a 6.448
_cell_length_b 6.448
_cell_length_c 2.954
_cell_angle_alpha 90.00
_cell_angle_beta 90.00
_cell_angle_gamma 90.00
loop_
_atom_site_label
_atom_site_type_symbol
_atom_site_fract_x
_atom_site_fract_y
_atom_site_fract_z
Li1 Li 0.173 0.327 0.000
Ag1 Ag 0.000 0.000 0.500
N1 N 0.068 0.568 0.500

***

## three
# Li2AgN2 GGA-PBE relaxed
# Magnetization ... 2.64 μB/cell
data_Li2AgN2
_chemical_formula_sum 'Li4 Ag2 N4'
_space_group_name_H-M_alt 'I 4/m m m'
_space_group_IT_number 139
_space_group_name_Hall '-I 4 2'
_cell_length_a 3.815
_cell_length_b 3.815
_cell_length_c 7.482
_cell_angle_alpha 90.00
_cell_angle_beta 90.00
_cell_angle_gamma 90.00
loop_
_atom_site_label
_atom_site_type_symbol
_atom_site_fract_x
_atom_site_fract_y
_atom_site_fract_z
Li1 Li 0.000 0.000 0.167
Ag1 Ag 0.000 0.000 0.500
N1 N 0.000 0.500 0.250

***

The most stable of them is two.

***

## one
# LiAgN2 GGA-PBE relaxed
# Magnetization ... 0.00 μB/cell
data_LiAgN2
_chemical_formula_sum 'Li3 Ag3 N6'
_space_group_name_H-M_alt 'R -3 m'
_space_group_IT_number 166
_space_group_name_Hall '-R 3 2"'
_cell_length_a 3.4661
_cell_length_b 3.4661
_cell_length_c 14.1402
_cell_angle_alpha 90.00
_cell_angle_beta 90.00
_cell_angle_gamma 120.00
loop_
_atom_site_label
_atom_site_type_symbol
_atom_site_fract_x
_atom_site_fract_y
_atom_site_fract_z
Li1 Li 0.0000 0.0000 0.0000
Ag1 Ag 0.0000 0.0000 0.5000
N1 N 0.0000 0.0000 0.3494

***

## two
# LiAgN2 GGA-PBE relaxed
# Magnetization ... 1.02 μB/cell
data_LiAgN2
_chemical_formula_sum 'Li4 Ag4 N8'
_space_group_name_H-M_alt 'F m -3 m'
_space_group_IT_number 225
_space_group_name_Hall '-F 4 2 3'
_cell_length_a 5.440
_cell_length_b 5.440
_cell_length_c 5.440
_cell_angle_alpha 90.00
_cell_angle_beta 90.00
_cell_angle_gamma 90.00
loop_
_atom_site_label
_atom_site_type_symbol
_atom_site_fract_x
_atom_site_fract_y
_atom_site_fract_z
Li1 Li 0.000 0.000 0.000
Ag1 Ag 0.000 0.000 0.500
N1 N 0.250 0.250 0.250

***

## three
# LiAgN2 GGA-PBE relaxed
# Magnetization ... 0.00 μB/cell
data_LiAgN2
_chemical_formula_sum 'Li3 Ag3 N6'
_space_group_name_H-M_alt 'R -3 m'
_space_group_IT_number 166
_space_group_name_Hall '-R 3 2"'
_cell_length_a 3.2304
_cell_length_b 3.2304
_cell_length_c 17.5428
_cell_angle_alpha 90.00
_cell_angle_beta 90.00
_cell_angle_gamma 120.00
loop_
_atom_site_label
_atom_site_type_symbol
_atom_site_fract_x
_atom_site_fract_y
_atom_site_fract_z
Li1 Li 0.0000 0.0000 0.0000
Ag1 Ag 0.0000 0.0000 0.5000
N1 N 0.0000 0.0000 0.1077

***

The most stable of them is one.

***

## one
# Li4AgN GGA-PBE relaxed
# Magnetization ... 0.00 μB/cell
data_Li4AgN
_chemical_formula_sum 'Li8 Ag2 N2'
_space_group_name_H-M_alt 'P -1'
_space_group_IT_number 2
_cell_length_a 4.924
_cell_length_b 5.527
_cell_length_c 7.008
_cell_angle_alpha 106.24
_cell_angle_beta 110.45
_cell_angle_gamma 90.00
loop_
_space_group_symop_operation_xyz
'x,y,z'
'-x,-y,-z'
loop_
_atom_site_label
_atom_site_type_symbol
_atom_site_fract_x
_atom_site_fract_y
_atom_site_fract_z
Li1 Li 0.007 0.447 0.219
Li2 Li 0.211 0.948 0.220
Li3 Li 0.247 0.815 0.584
Li4 Li 0.338 0.316 0.586
Ag1 Ag 0.402 0.250 0.000
N1 N 0.000 0.500 0.500
N2 N 0.500 0.000 0.500

***

## two
# Li4AgN GGA-PBE relaxed
# Magnetization ... 0.00 μB/cell
data_Li4AgN
_chemical_formula_sum 'Li8 Ag2 N2'
_space_group_name_H-M_alt 'P 1 21/m 1'
_space_group_IT_number 11
_cell_length_a 3.874
_cell_length_b 6.318
_cell_length_c 7.206
_cell_angle_alpha 90.00
_cell_angle_beta 90.12
_cell_angle_gamma 90.00
loop_
_space_group_symop_operation_xyz
'x,y,z'
'-x,-y,-z'
'-x,y+1/2,-z'
'x,-y+1/2,z'
loop_
_atom_site_label
_atom_site_type_symbol
_atom_site_fract_x
_atom_site_fract_y
_atom_site_fract_z
Li1 Li 0.002 0.250 0.410
Li2 Li 0.494 0.750 0.861
Li3 Li 0.497 0.560 0.360
Ag1 Ag 0.005 0.250 0.881
N1 N 0.498 0.750 0.589

***

The most stable of them is one.

***

## one
# LiAgS2N GGA-PBE relaxed
# Magnetization ... 2.93 μB/cell
data_LiAgS2N
_chemical_formula_sum 'Li1 Ag1 S2 N1'
_space_group_name_H-M_alt 'P 4/m m m'
_space_group_IT_number 123
_space_group_name_Hall '-P 4 2'
_cell_length_a 4.594
_cell_length_b 4.594
_cell_length_c 3.850
_cell_angle_alpha 90.00
_cell_angle_beta 90.00
_cell_angle_gamma 90.00
loop_
_atom_site_label
_atom_site_type_symbol
_atom_site_fract_x
_atom_site_fract_y
_atom_site_fract_z
Li1 Li 0.000 0.000 0.000
Ag1 Ag 0.500 0.500 0.500
S1 S 0.000 0.500 0.000
N1 N 0.000 0.000 0.500

***

## two
# LiAgS2N GGA-PBE relaxed
# Magnetization ... 2.15 μB/cell
data_LiAgS2N
_chemical_formula_sum 'Li1 Ag1 S2 N1'
_space_group_name_H-M_alt 'P 4/m m m'
_space_group_IT_number 123
_space_group_name_Hall '-P 4 2'
_cell_length_a 4.969
_cell_length_b 4.969
_cell_length_c 4.100
_cell_angle_alpha 90.00
_cell_angle_beta 90.00
_cell_angle_gamma 90.00
loop_
_atom_site_label
_atom_site_type_symbol
_atom_site_fract_x
_atom_site_fract_y
_atom_site_fract_z
Li1 Li 0.000 0.000 0.000
Ag1 Ag 0.500 0.500 0.500
S1 S 0.000 0.500 0.500
N1 N 0.500 0.500 0.000

***

The most stable of them is two.

***

## one
# LiAgSeN2 GGA-PBE relaxed
# Magnetization ... 2.64 μB/cell
data_LiAgSeN2
_chemical_formula_sum 'Li1 Ag1 Se1 N2'
_space_group_name_H-M_alt 'P 4/m m m'
_space_group_IT_number 123
_space_group_name_Hall '-P 4 2'
_cell_length_a 3.804
_cell_length_b 3.804
_cell_length_c 5.172
_cell_angle_alpha 90.00
_cell_angle_beta 90.00
_cell_angle_gamma 90.00
loop_
_atom_site_label
_atom_site_type_symbol
_atom_site_fract_x
_atom_site_fract_y
_atom_site_fract_z
Li1 Li 0.000 0.000 0.000
Ag1 Ag 0.500 0.500 0.500
Se1 Se 0.000 0.000 0.500
N1 N 0.000 0.500 0.000

***

## two
# LiAgSeN2 GGA-PBE relaxed
# Magnetization ... 4.21 μB/cell
data_LiAgSeN2
_chemical_formula_sum 'Li1 Ag1 Se1 N2'
_space_group_name_H-M_alt 'P 4/m m m'
_space_group_IT_number 123
_space_group_name_Hall '-P 4 2'
_cell_length_a 4.146
_cell_length_b 4.146
_cell_length_c 5.604
_cell_angle_alpha 90.00
_cell_angle_beta 90.00
_cell_angle_gamma 90.00
loop_
_atom_site_label
_atom_site_type_symbol
_atom_site_fract_x
_atom_site_fract_y
_atom_site_fract_z
Li1 Li 0.000 0.000 0.000
Ag1 Ag 0.500 0.500 0.500
Se1 Se 0.500 0.500 0.000
N1 N 0.000 0.500 0.500

***

The most stable of them is two.